The following is a DFT calculation (PBE) of a geometry-optimized FeAgMo2 structure.

Output
total magnetization = 1.345 μB per cell
energy of formation from the pure elements = 43.0 kJ/mol of atoms
polymorph energy (0 for the lowest one) = 0.75 eV per formula unit
E = -7.798 eV/atom
ρ = 9.6 g cm⁻³

Lattice parameters (Å, degrees): 9.3649 9.3649 9.3649 17.03 17.03 17.03
Last column: nearest neighbours and their distance in Å.
Fractional coordinates of all 4 atoms:
Fe 0.0000 0.0000 0.0000  3 Mo 2.57, 6 Fe 2.77, 3 Ag 2.80
Ag 0.7497 0.7497 0.7497  6 Ag 2.77, 3 Fe 2.80, 3 Mo 2.98
Mo 0.2608 0.2608 0.2608  3 Fe 2.57, 6 Mo 2.77
Mo 0.5072 0.5072 0.5072  9 Mo 2.77-2.89, 3 Ag 2.98